(one)
DFT (PBE-GGA) results for a geometry-optimized AlAgP structure.

DOS(E_F) ... 1.56 states/eV/f.u.
V ... 57 Å³ per cell
Magnetization ... 0.00 μB per formula unit

Cell lengths 4.330, 4.330, 4.330 Å; angles 60.00, 60.00, 60.00 degrees
Fractional coordinates of all 3 atoms:
Al 0.000 0.000 0.000
P 0.500 0.500 0.500
Ag 0.750 0.750 0.750



(two)
DFT (PBE-GGA) results for a geometry-optimized AlAgP structure.

DOS(E_F) ... 1.67 states/eV/f.u.
V ... 106 Å³ per cell
Magnetization ... 0.00 μB per formula unit

Cell lengths 4.097, 4.097, 6.312 Å; angles 90.00, 90.00, 90.00 degrees
Fractional coordinates of all 6 atoms:
Ag 0.500 0.000 0.125
Al 0.500 0.500 0.500
P 0.500 0.000 0.723
P 0.000 0.500 0.277
Ag 0.000 0.500 0.875
Al 0.000 0.000 0.500



Which structure wins on stability? (two) wins.



(one)
DFT (PBE-GGA) results for a geometry-optimized AlAg3P structure.

DOS(E_F) ... 3.91 states/eV/f.u.
V ... 112 Å³ per cell
Magnetization ... 0.00 μB per formula unit

Cell lengths 4.814, 4.814, 4.814 Å; angles 90.00, 90.00, 90.00 degrees
Fractional coordinates of all 5 atoms:
Al 0.000 0.000 0.000
Ag 0.000 0.000 0.500
P 0.500 0.500 0.500
Ag 0.500 0.000 0.000
Ag 0.000 0.500 0.000



(two)
DFT (PBE-GGA) results for a geometry-optimized AlAg3P structure.

DOS(E_F) ... 2.47 states/eV/f.u.
V ... 112 Å³ per cell
Magnetization ... 0.00 μB per formula unit

Cell lengths 4.820, 4.820, 4.820 Å; angles 90.00, 90.00, 90.00 degrees
Fractional coordinates of all 5 atoms:
Al 0.500 0.500 0.500
Ag 0.500 0.000 0.000
Ag 0.000 0.000 0.500
Ag 0.000 0.500 0.000
P 0.000 0.000 0.000



Which structure wins on stability? (two) wins.



(one)
DFT (PBE-GGA) results for a geometry-optimized Al3AgP structure.

DOS(E_F) ... 4.80 states/eV/f.u.
V ... 110 Å³ per cell
Magnetization ... 0.00 μB per formula unit

Cell lengths 4.797, 4.797, 4.797 Å; angles 90.00, 90.00, 90.00 degrees
Fractional coordinates of all 5 atoms:
Ag 0.000 0.000 0.000
P 0.500 0.500 0.500
Al 0.000 0.500 0.000
Al 0.500 0.000 0.000
Al 0.000 0.000 0.500



(two)
DFT (PBE-GGA) results for a geometry-optimized Al3AgP structure.

DOS(E_F) ... 2.93 states/eV/f.u.
V ... 104 Å³ per cell
Magnetization ... 0.00 μB per formula unit

Cell lengths 4.705, 4.705, 4.705 Å; angles 90.00, 90.00, 90.00 degrees
Fractional coordinates of all 5 atoms:
Al 0.000 0.000 0.500
Ag 0.500 0.500 0.500
P 0.000 0.000 0.000
Al 0.000 0.500 0.000
Al 0.500 0.000 0.000



Which structure wins on stability? (two) wins.



(one)
DFT (PBE-GGA) results for a geometry-optimized PaAlAg2 structure.

DOS(E_F) ... 4.26 states/eV/f.u.
V ... 77 Å³ per cell
Magnetization ... 0.44 μB per formula unit

Cell lengths 3.065, 3.065, 8.186 Å; angles 90.00, 90.00, 90.00 degrees
Last column: magnetic moment on the atom in μB.
Fractional coordinates of all 4 atoms:
Al 0.500 0.500 0.000  0.00
Ag 0.000 0.000 0.794  0.00
Ag 0.000 0.000 0.206  0.00
Pa 0.500 0.500 0.500  0.40



(two)
DFT (PBE-GGA) results for a geometry-optimized PaAlAg2 structure.

DOS(E_F) ... 3.33 states/eV/f.u.
V ... 83 Å³ per cell
Magnetization ... 0.00 μB per formula unit

Cell lengths 4.888, 4.888, 4.888 Å; angles 60.00, 60.00, 60.00 degrees
Fractional coordinates of all 4 atoms:
Ag 0.750 0.750 0.750
Pa 0.000 0.000 0.000
Ag 0.250 0.250 0.250
Al 0.500 0.500 0.500



Which structure wins on stability? (one) wins.



(one)
DFT (PBE-GGA) results for a geometry-optimized AlAg2Pb2 structure.

DOS(E_F) ... 1.59 states/eV/f.u.
V ... 252 Å³ per cell
Magnetization ... 0.00 μB per formula unit

Cell lengths 8.131, 8.131, 3.808 Å; angles 90.00, 90.00, 90.00 degrees
Fractional coordinates of all 10 atoms:
Ag 0.875 0.375 0.500
Ag 0.125 0.625 0.500
Ag 0.375 0.125 0.500
Pb 0.827 0.673 0.000
Al 0.500 0.500 0.000
Ag 0.625 0.875 0.500
Al 0.000 0.000 0.000
Pb 0.173 0.327 0.000
Pb 0.673 0.173 0.000
Pb 0.327 0.827 0.000



(two)
DFT (PBE-GGA) results for a geometry-optimized AlAg2Pb2 structure.

DOS(E_F) ... 2.40 states/eV/f.u.
V ... 240 Å³ per cell
Magnetization ... 0.00 μB per formula unit

Cell lengths 7.059, 7.059, 4.821 Å; angles 90.00, 90.00, 90.00 degrees
Fractional coordinates of all 10 atoms:
Ag 0.357 0.857 0.000
Pb 0.829 0.329 0.500
Ag 0.857 0.643 0.000
Pb 0.671 0.829 0.500
Al 0.000 0.000 0.000
Pb 0.329 0.171 0.500
Ag 0.643 0.143 0.000
Al 0.500 0.500 0.000
Pb 0.171 0.671 0.500
Ag 0.143 0.357 0.000



(three)
DFT (PBE-GGA) results for a geometry-optimized AlAg2Pb2 structure.

DOS(E_F) ... 2.09 states/eV/f.u.
V ... 134 Å³ per cell
Magnetization ... 0.00 μB per formula unit

Cell lengths 4.464, 4.464, 7.407 Å; angles 72.46, 72.46, 90.00 degrees
Fractional coordinates of all 5 atoms:
Pb 0.250 0.750 0.500
Al 0.000 0.000 0.000
Ag 0.402 0.402 0.197
Pb 0.750 0.250 0.500
Ag 0.598 0.598 0.803



Which structure wins on stability? (two) wins.



(one)
DFT (PBE-GGA) results for a geometry-optimized Al2AgPd2 structure.

DOS(E_F) ... 1.56 states/eV/f.u.
V ... 157 Å³ per cell
Magnetization ... 0.00 μB per formula unit

Cell lengths 7.404, 7.404, 2.869 Å; angles 90.00, 90.00, 90.00 degrees
Fractional coordinates of all 10 atoms:
Al 0.157 0.657 0.500
Ag 0.000 0.000 0.000
Pd 0.140 0.360 0.000
Ag 0.500 0.500 0.000
Pd 0.360 0.860 0.000
Al 0.657 0.843 0.500
Pd 0.640 0.140 0.000
Al 0.343 0.157 0.500
Al 0.843 0.343 0.500
Pd 0.860 0.640 0.000



(two)
DFT (PBE-GGA) results for a geometry-optimized Al2AgPd2 structure.

DOS(E_F) ... 2.16 states/eV/f.u.
V ... 156 Å³ per cell
Magnetization ... 0.00 μB per formula unit

Cell lengths 7.294, 7.294, 2.936 Å; angles 90.00, 90.00, 90.00 degrees
Fractional coordinates of all 10 atoms:
Al 0.356 0.856 0.000
Al 0.644 0.144 0.000
Pd 0.651 0.849 0.500
Ag 0.500 0.500 0.000
Pd 0.349 0.151 0.500
Al 0.856 0.644 0.000
Pd 0.849 0.349 0.500
Al 0.144 0.356 0.000
Pd 0.151 0.651 0.500
Ag 0.000 0.000 0.000



(three)
DFT (PBE-GGA) results for a geometry-optimized Al2AgPd2 structure.

DOS(E_F) ... 1.64 states/eV/f.u.
V ... 87 Å³ per cell
Magnetization ... 0.00 μB per formula unit

Cell lengths 3.978, 3.978, 6.201 Å; angles 71.29, 71.29, 90.00 degrees
Fractional coordinates of all 5 atoms:
Ag 0.000 0.000 0.000
Al 0.615 0.615 0.771
Pd 0.250 0.750 0.500
Al 0.385 0.385 0.229
Pd 0.750 0.250 0.500



Which structure wins on stability? (two) wins.



(one)
DFT (PBE-GGA) results for a geometry-optimized AlAgPd5 structure.

DOS(E_F) ... 4.18 states/eV/f.u.
V ... 114 Å³ per cell
Magnetization ... 0.00 μB per formula unit

Cell lengths 4.037, 4.037, 6.980 Å; angles 90.00, 90.00, 90.00 degrees
Fractional coordinates of all 7 atoms:
Ag 0.000 0.000 0.500
Pd 0.000 0.500 0.211
Pd 0.500 0.000 0.211
Pd 0.500 0.500 0.500
Al 0.500 0.500 0.000
Pd 0.500 0.000 0.789
Pd 0.000 0.500 0.789



(two)
DFT (PBE-GGA) results for a geometry-optimized AlAgPd5 structure.

DOS(E_F) ... 4.28 states/eV/f.u.
V ... 229 Å³ per cell
Magnetization ... 0.00 μB per formula unit

Cell lengths 5.059, 5.059, 10.496 Å; angles 89.11, 89.11, 58.53 degrees
Fractional coordinates of all 14 atoms:
Pd 0.348 0.348 0.063
Pd 0.269 0.234 0.323
Ag 0.000 0.000 0.000
Pd 0.652 0.652 0.437
Ag 0.000 0.000 0.500
Pd 0.731 0.766 0.677
Pd 0.766 0.731 0.177
Pd 0.234 0.269 0.823
Pd 0.789 0.211 0.250
Pd 0.211 0.789 0.750
Al 0.717 0.283 0.750
Al 0.283 0.717 0.250
Pd 0.652 0.652 0.937
Pd 0.348 0.348 0.563



Which structure wins on stability? (one) wins.



(one)
DFT (PBE-GGA) results for a geometry-optimized AlAg2Pd2 structure.

DOS(E_F) ... 1.30 states/eV/f.u.
V ... 175 Å³ per cell
Magnetization ... 0.00 μB per formula unit

Cell lengths 6.332, 6.332, 4.354 Å; angles 90.00, 90.00, 90.00 degrees
Fractional coordinates of all 10 atoms:
Pd 0.646 0.146 0.000
Ag 0.162 0.662 0.500
Ag 0.662 0.838 0.500
Al 0.000 0.000 0.000
Pd 0.146 0.354 0.000
Ag 0.338 0.162 0.500
Al 0.500 0.500 0.000
Pd 0.854 0.646 0.000
Pd 0.354 0.854 0.000
Ag 0.838 0.338 0.500



(two)
DFT (PBE-GGA) results for a geometry-optimized AlAg2Pd2 structure.

DOS(E_F) ... 0.92 states/eV/f.u.
V ... 80 Å³ per cell
Magnetization ... 0.00 μB per formula unit

Cell lengths 2.942, 2.942, 9.465 Å; angles 98.94, 98.94, 90.00 degrees
Fractional coordinates of all 5 atoms:
Pd 0.584 0.584 0.167
Ag 0.194 0.194 0.388
Al 0.000 0.000 0.000
Pd 0.416 0.416 0.833
Ag 0.806 0.806 0.612



Which structure wins on stability? (two) wins.



(one)
DFT (PBE-GGA) results for a geometry-optimized Al2AgPd structure.

DOS(E_F) ... 1.64 states/eV/f.u.
V ... 64 Å³ per cell
Magnetization ... 0.00 μB per formula unit

Cell lengths 2.937, 2.937, 8.707 Å; angles 80.29, 80.29, 60.00 degrees
Fractional coordinates of all 4 atoms:
Al 0.745 0.745 0.765
Pd 0.000 0.000 0.000
Al 0.255 0.255 0.235
Ag 0.500 0.500 0.500



(two)
DFT (PBE-GGA) results for a geometry-optimized Al2AgPd structure.

DOS(E_F) ... 0.92 states/eV/f.u.
V ... 62 Å³ per cell
Magnetization ... 0.00 μB per formula unit

Cell lengths 4.435, 4.435, 4.435 Å; angles 60.00, 60.00, 60.00 degrees
Fractional coordinates of all 4 atoms:
Al 0.750 0.750 0.750
Pd 0.000 0.000 0.000
Ag 0.500 0.500 0.500
Al 0.250 0.250 0.250



Which structure wins on stability? (two) wins.



(one)
DFT (PBE-GGA) results for a geometry-optimized Al2AgPd structure.

DOS(E_F) ... 0.72 states/eV/f.u.
V ... 62 Å³ per cell
Magnetization ... 0.00 μB per formula unit

Cell lengths 3.061, 3.061, 6.643 Å; angles 90.00, 90.00, 90.00 degrees
Fractional coordinates of all 4 atoms:
Al 0.000 0.000 0.770
Pd 0.500 0.500 0.000
Al 0.000 0.000 0.230
Ag 0.500 0.500 0.500



(two)
DFT (PBE-GGA) results for a geometry-optimized Al2AgPd structure.

DOS(E_F) ... 1.53 states/eV/f.u.
V ... 142 Å³ per cell
Magnetization ... 0.00 μB per formula unit

Cell lengths 7.192, 7.192, 5.776 Å; angles 51.50, 51.50, 90.00 degrees
Fractional coordinates of all 8 atoms:
Al 0.875 0.850 0.750
Al 0.600 0.125 0.250
Ag 0.000 0.000 0.000
Pd 0.250 0.750 0.500
Al 0.375 0.400 0.750
Pd 0.500 0.500 0.000
Ag 0.750 0.250 0.500
Al 0.150 0.625 0.250



(three)
DFT (PBE-GGA) results for a geometry-optimized Al2AgPd structure.

DOS(E_F) ... 1.68 states/eV/f.u.
V ... 70 Å³ per cell
Magnetization ... 0.00 μB per formula unit

Cell lengths 4.206, 4.206, 5.181 Å; angles 66.05, 66.05, 60.00 degrees
Fractional coordinates of all 4 atoms:
Ag 0.484 0.484 0.547
Al 0.271 0.271 0.187
Al 0.061 0.061 0.817
Pd 0.684 0.684 0.949



Which structure wins on stability? (one) wins.



(one)
DFT (PBE-GGA) results for a geometry-optimized Al2Ag2Pd structure.

DOS(E_F) ... 0.30 states/eV/f.u.
V ... 166 Å³ per cell
Magnetization ... 0.00 μB per formula unit

Cell lengths 6.896, 6.896, 3.490 Å; angles 90.00, 90.00, 90.00 degrees
Fractional coordinates of all 10 atoms:
Ag 0.848 0.348 0.500
Al 0.353 0.853 0.000
Pd 0.500 0.500 0.000
Ag 0.348 0.152 0.500
Pd 0.000 0.000 0.000
Al 0.853 0.647 0.000
Ag 0.652 0.848 0.500
Al 0.647 0.147 0.000
Al 0.147 0.353 0.000
Ag 0.152 0.652 0.500



(two)
DFT (PBE-GGA) results for a geometry-optimized Al2Ag2Pd structure.

DOS(E_F) ... 1.00 states/eV/f.u.
V ... 165 Å³ per cell
Magnetization ... 0.00 μB per formula unit

Cell lengths 7.456, 7.456, 2.974 Å; angles 90.00, 90.00, 90.00 degrees
Fractional coordinates of all 10 atoms:
Ag 0.368 0.868 0.000
Al 0.670 0.830 0.500
Ag 0.632 0.132 0.000
Pd 0.500 0.500 0.000
Pd 0.000 0.000 0.000
Al 0.170 0.670 0.500
Ag 0.868 0.632 0.000
Al 0.330 0.170 0.500
Al 0.830 0.330 0.500
Ag 0.132 0.368 0.000



Which structure wins on stability? (one) wins.